Entry from Alexandria: crystalline Mn2Tl2SbO6 at its relaxed geometry (GGA+U).

N(E_F)	0.126	states/eV/atom
VASP energy	-0.4331	Ry per atom
space group	C2/m (12)

```
data_Mn2Tl2SbO6
_space_group_name_H-M_alt 'P 1'
_space_group_IT_number 1
_space_group_name_Hall 'P 1'
_cell_length_a 5.2654
_cell_length_b 5.2654
_cell_length_c 7.4764
_cell_angle_alpha 96.18
_cell_angle_beta 96.18
_cell_angle_gamma 120.16
loop_
_atom_site_label
_atom_site_fract_x
_atom_site_fract_y
_atom_site_fract_z
Mn1 0.1676 0.8324 0.0000
Mn2 0.8324 0.1676 0.0000
Tl1 0.1686 0.8314 0.5000
Tl2 0.8314 0.1686 0.5000
Sb1 0.5000 0.5000 0.0000
O1 0.1204 0.1204 0.8619
O2 0.2038 0.5412 0.1377
O3 0.4588 0.7962 0.8623
O4 0.5412 0.2038 0.1377
O5 0.7962 0.4588 0.8623
O6 0.8796 0.8796 0.1381
```